# 1
AcLa3Tl2 | GGA-PBE | optimized geometry

Unit cell a=5.400 b=10.666 c=7.165 alpha=90.00 beta=90.00 gamma=90.00
Sites, in units of the cell vectors:
Ac 0.000 0.050 0.000
Ac 0.000 0.950 0.500
La 0.000 0.321 0.632
La 0.000 0.679 0.132
La 0.500 0.191 0.264
La 0.500 0.449 0.881
La 0.500 0.551 0.381
La 0.500 0.809 0.764
Tl 0.000 0.368 0.156
Tl 0.000 0.632 0.656
Tl 0.500 0.135 0.728
Tl 0.500 0.865 0.228

Properties
Crystal system: orthorhombic
Formation enthalpy at 0 K: -162 kJ/mol of formula units
Total magnetic moment: 0.00 μB per cell
Energy above the lowest structure with this stoichiometry: 0 meV/atom


# 2
AcLaTl | GGA-PBE | optimized geometry

Unit cell a=4.983 b=4.983 c=8.905 alpha=90.00 beta=90.00 gamma=90.00
Sites, in units of the cell vectors:
Ac 0.250 0.250 0.142
Ac 0.750 0.750 0.858
La 0.250 0.750 0.500
La 0.750 0.250 0.500
Tl 0.250 0.250 0.763
Tl 0.750 0.750 0.237

Properties
Crystal system: tetragonal
Formation enthalpy at 0 K: -78 kJ/mol of formula units
Total magnetic moment: 1.01 μB per cell
Energy above the lowest structure with this stoichiometry: 0 meV/atom


# 3
AcLa3Tl3 | GGA-PBE | optimized geometry

Unit cell a=9.914 b=9.914 c=9.914 alpha=90.00 beta=90.00 gamma=90.00
Sites, in units of the cell vectors:
Ac 0.073 0.427 0.573
Ac 0.427 0.573 0.073
Ac 0.573 0.073 0.427
Ac 0.927 0.927 0.927
La 0.078 0.578 0.922
La 0.176 0.824 0.324
La 0.177 0.177 0.177
La 0.323 0.823 0.677
La 0.324 0.176 0.824
La 0.422 0.422 0.422
La 0.578 0.922 0.078
La 0.676 0.676 0.676
La 0.677 0.323 0.823
La 0.823 0.677 0.323
La 0.824 0.324 0.176
La 0.922 0.078 0.578
Tl 0.003 0.256 0.880
Tl 0.120 0.503 0.244
Tl 0.244 0.120 0.503
Tl 0.256 0.880 0.003
Tl 0.380 0.497 0.744
Tl 0.497 0.744 0.380
Tl 0.503 0.244 0.120
Tl 0.620 0.997 0.756
Tl 0.744 0.380 0.497
Tl 0.756 0.620 0.997
Tl 0.880 0.003 0.256
Tl 0.997 0.756 0.620

Properties
Crystal system: cubic
Formation enthalpy at 0 K: -211 kJ/mol of formula units
Total magnetic moment: 0.00 μB per cell
Energy above the lowest structure with this stoichiometry: 0 meV/atom


# 4
AcLa4Tl5 | GGA-PBE | optimized geometry

Unit cell a=3.990 b=3.990 c=20.312 alpha=90.00 beta=90.00 gamma=90.00
Sites, in units of the cell vectors:
Ac 0.000 0.000 0.000
La 0.000 0.000 0.206
La 0.000 0.000 0.402
La 0.000 0.000 0.598
La 0.000 0.000 0.794
Tl 0.500 0.500 0.108
Tl 0.500 0.500 0.305
Tl 0.500 0.500 0.500
Tl 0.500 0.500 0.695
Tl 0.500 0.500 0.892

Properties
Crystal system: tetragonal
Formation enthalpy at 0 K: -394 kJ/mol of formula units
Total magnetic moment: 0.00 μB per cell


# 5
AcLa4Tl4 | GGA-PBE | optimized geometry

Unit cell a=9.754 b=9.754 c=6.358 alpha=90.00 beta=90.00 gamma=90.00
Sites, in units of the cell vectors:
Ac 0.250 0.250 0.250
Ac 0.750 0.750 0.750
La 0.090 0.828 0.629
La 0.172 0.590 0.129
La 0.328 0.910 0.129
La 0.410 0.672 0.629
La 0.590 0.328 0.371
La 0.672 0.090 0.871
La 0.828 0.410 0.871
La 0.910 0.172 0.371
Tl 0.040 0.140 0.855
Tl 0.140 0.460 0.645
Tl 0.360 0.040 0.645
Tl 0.460 0.360 0.855
Tl 0.540 0.640 0.145
Tl 0.640 0.960 0.355
Tl 0.860 0.540 0.355
Tl 0.960 0.860 0.145

Properties
Crystal system: tetragonal
Formation enthalpy at 0 K: -185 kJ/mol of formula units
Total magnetic moment: 0.00 μB per cell


# 6
AcLaTl | GGA-PBE | optimized geometry

Unit cell a=5.505 b=5.505 c=4.060 alpha=90.00 beta=90.00 gamma=120.00
Sites, in units of the cell vectors:
Ac 0.000 0.000 0.000
La 0.333 0.667 0.419
Tl 0.667 0.333 0.642

Properties
Crystal system: trigonal
Formation enthalpy at 0 K: -49 kJ/mol of formula units
Total magnetic moment: 0.00 μB per cell
Energy above the lowest structure with this stoichiometry: 100 meV/atom


# 7
AcLa12Tl3 | GGA-PBE | optimized geometry

Unit cell a=5.123 b=5.123 c=20.688 alpha=90.00 beta=90.00 gamma=90.00
Sites, in units of the cell vectors:
Ac 0.000 0.000 0.000
La 0.000 0.500 0.133
La 0.000 0.500 0.378
La 0.000 0.500 0.622
La 0.000 0.500 0.867
La 0.500 0.000 0.133
La 0.500 0.000 0.378
La 0.500 0.000 0.622
La 0.500 0.000 0.867
La 0.500 0.500 0.000
La 0.500 0.500 0.258
La 0.500 0.500 0.500
La 0.500 0.500 0.742
Tl 0.000 0.000 0.257
Tl 0.000 0.000 0.500
Tl 0.000 0.000 0.743

Properties
Crystal system: tetragonal
Formation enthalpy at 0 K: -262 kJ/mol of formula units
Total magnetic moment: 0.00 μB per cell


# 8
AcLa6Tl3 | GGA-PBE | optimized geometry

Unit cell a=8.985 b=8.985 c=8.999 alpha=90.00 beta=90.00 gamma=94.83
Sites, in units of the cell vectors:
Ac 0.183 0.817 0.500
Ac 0.817 0.183 0.000
La 0.070 0.427 0.696
La 0.106 0.245 0.346
La 0.245 0.106 0.846
La 0.255 0.745 0.919
La 0.427 0.070 0.196
La 0.468 0.532 0.303
La 0.532 0.468 0.803
La 0.573 0.930 0.696
La 0.745 0.255 0.419
La 0.755 0.894 0.346
La 0.894 0.755 0.846
La 0.930 0.573 0.196
Tl 0.065 0.935 0.150
Tl 0.224 0.400 0.040
Tl 0.400 0.224 0.540
Tl 0.600 0.776 0.040
Tl 0.776 0.600 0.540
Tl 0.935 0.065 0.650

Properties
Crystal system: orthorhombic
Formation enthalpy at 0 K: -193 kJ/mol of formula units
Total magnetic moment: 0.00 μB per cell


# 9
Ac3La3Tl2 | GGA-PBE | optimized geometry

Unit cell a=6.867 b=6.867 c=20.037 alpha=90.00 beta=90.00 gamma=140.32
Sites, in units of the cell vectors:
Ac 0.043 0.957 0.613
Ac 0.043 0.957 0.887
Ac 0.337 0.663 0.750
Ac 0.663 0.337 0.250
Ac 0.957 0.043 0.113
Ac 0.957 0.043 0.387
La 0.354 0.646 0.518
La 0.354 0.646 0.982
La 0.388 0.612 0.250
La 0.612 0.388 0.750
La 0.646 0.354 0.018
La 0.646 0.354 0.482
Tl 0.235 0.765 0.126
Tl 0.235 0.765 0.374
Tl 0.765 0.235 0.626
Tl 0.765 0.235 0.874

Properties
Crystal system: orthorhombic
Formation enthalpy at 0 K: -106 kJ/mol of formula units
Total magnetic moment: 0.00 μB per cell
Energy above the lowest structure with this stoichiometry: 0 meV/atom


# 10
AcLaTl | GGA-PBE | optimized geometry

Unit cell a=7.061 b=7.061 c=7.061 alpha=146.19 beta=146.19 gamma=48.57
Sites, in units of the cell vectors:
Ac 0.000 0.000 0.000
La 0.698 0.698 0.000
Tl 0.338 0.338 0.000

Properties
Crystal system: tetragonal
Formation enthalpy at 0 K: -64 kJ/mol of formula units
Total magnetic moment: 0.00 μB per cell
Energy above the lowest structure with this stoichiometry: 50 meV/atom


# 11
Ac2LaTl6 | GGA-PBE | optimized geometry

Unit cell a=9.295 b=9.295 c=3.821 alpha=90.00 beta=90.00 gamma=120.00
Sites, in units of the cell vectors:
Ac 0.333 0.667 0.000
Ac 0.667 0.333 0.000
La 0.000 0.000 0.000
Tl 0.000 0.330 0.500
Tl 0.000 0.670 0.500
Tl 0.330 0.000 0.500
Tl 0.330 0.330 0.500
Tl 0.670 0.000 0.500
Tl 0.670 0.670 0.500

Properties
Crystal system: hexagonal
Formation enthalpy at 0 K: -247 kJ/mol of formula units
Total magnetic moment: 0.00 μB per cell


# 12
Ac3La2Tl | GGA-PBE | optimized geometry

Unit cell a=8.708 b=8.708 c=5.206 alpha=90.00 beta=90.00 gamma=144.32
Sites, in units of the cell vectors:
Ac 0.000 0.000 0.000
Ac 0.337 0.663 0.000
Ac 0.663 0.337 0.000
La 0.164 0.836 0.500
La 0.836 0.164 0.500
Tl 0.500 0.500 0.500

Properties
Crystal system: orthorhombic
Formation enthalpy at 0 K: -46 kJ/mol of formula units
Total magnetic moment: 0.00 μB per cell


# 13
Ac6LaTl5 | GGA-PBE | optimized geometry

Unit cell a=9.116 b=9.116 c=9.012 alpha=90.00 beta=90.00 gamma=144.55
Sites, in units of the cell vectors:
Ac 0.000 0.000 0.222
Ac 0.000 0.000 0.778
Ac 0.325 0.675 0.253
Ac 0.325 0.675 0.747
Ac 0.675 0.325 0.253
Ac 0.675 0.325 0.747
La 0.500 0.500 0.500
Tl 0.142 0.858 0.500
Tl 0.172 0.828 0.000
Tl 0.500 0.500 0.000
Tl 0.828 0.172 0.000
Tl 0.858 0.142 0.500

Properties
Crystal system: orthorhombic
Formation enthalpy at 0 K: -303 kJ/mol of formula units
Total magnetic moment: 0.00 μB per cell


# 14
Ac2La7Tl2 | GGA-PBE | optimized geometry

Unit cell a=6.484 b=6.484 c=10.250 alpha=94.46 beta=94.46 gamma=112.29
Sites, in units of the cell vectors:
Ac 0.245 0.755 0.000
Ac 0.755 0.245 0.000
La 0.115 0.696 0.646
La 0.220 0.220 0.791
La 0.304 0.885 0.354
La 0.500 0.500 0.500
La 0.696 0.115 0.646
La 0.780 0.780 0.209
La 0.885 0.304 0.354
Tl 0.297 0.297 0.164
Tl 0.703 0.703 0.836

Properties
Crystal system: monoclinic
Formation enthalpy at 0 K: -77 kJ/mol of formula units
Total magnetic moment: 0.00 μB per cell
Energy above the lowest structure with this stoichiometry: 0 meV/atom


# 15
AcLa2Tl | GGA-PBE | optimized geometry

Unit cell a=3.868 b=3.868 c=9.566 alpha=90.00 beta=90.00 gamma=90.00
Sites, in units of the cell vectors:
Ac 0.000 0.000 0.000
La 0.500 0.500 0.278
La 0.500 0.500 0.722
Tl 0.000 0.000 0.500

Properties
Crystal system: tetragonal
Formation enthalpy at 0 K: -77 kJ/mol of formula units
Total magnetic moment: 0.00 μB per cell
Energy above the lowest structure with this stoichiometry: 0 meV/atom


# 16
Ac6La2Tl | GGA-PBE | optimized geometry

Unit cell a=10.381 b=10.381 c=3.986 alpha=90.00 beta=90.00 gamma=120.00
Sites, in units of the cell vectors:
Ac 0.000 0.375 0.000
Ac 0.000 0.724 0.500
Ac 0.276 0.276 0.500
Ac 0.375 0.000 0.000
Ac 0.625 0.625 0.000
Ac 0.724 0.000 0.500
La 0.333 0.667 0.500
La 0.667 0.333 0.500
Tl 0.000 0.000 0.000

Properties
Crystal system: hexagonal
Formation enthalpy at 0 K: -62 kJ/mol of formula units
Total magnetic moment: 0.00 μB per cell


# 17
Ac4La3Tl4 | GGA-PBE | optimized geometry

Unit cell a=11.553 b=11.553 c=11.553 alpha=160.43 beta=128.17 gamma=55.93
Sites, in units of the cell vectors:
Ac 0.017 0.836 0.181
Ac 0.345 0.164 0.181
Ac 0.655 0.836 0.819
Ac 0.983 0.164 0.819
La 0.000 0.500 0.500
La 0.408 0.408 0.000
La 0.592 0.592 0.000
Tl 0.276 0.776 0.500
Tl 0.278 0.000 0.278
Tl 0.722 0.000 0.722
Tl 0.724 0.224 0.500

Properties
Crystal system: orthorhombic
Formation enthalpy at 0 K: -278 kJ/mol of formula units
Total magnetic moment: 0.00 μB per cell


# 18
AcLa7Tl4 | GGA-PBE | optimized geometry

Unit cell a=8.016 b=8.016 c=11.150 alpha=121.30 beta=121.30 gamma=45.40
Sites, in units of the cell vectors:
Ac 0.000 0.000 0.000
La 0.055 0.055 0.377
La 0.201 0.201 0.882
La 0.291 0.291 0.361
La 0.500 0.500 0.000
La 0.709 0.709 0.639
La 0.799 0.799 0.118
La 0.945 0.945 0.623
Tl 0.307 0.307 0.668
Tl 0.442 0.442 0.245
Tl 0.558 0.558 0.755
Tl 0.693 0.693 0.332

Properties
Crystal system: monoclinic
Formation enthalpy at 0 K: -125 kJ/mol of formula units
Total magnetic moment: 0.36 μB per cell


# 19
AcLaTmTl | GGA-PBE | optimized geometry

Unit cell a=5.702 b=5.702 c=5.702 alpha=60.00 beta=60.00 gamma=60.00
Sites, in units of the cell vectors:
Ac 0.000 0.000 0.000
La 0.250 0.250 0.250
Tm 0.750 0.750 0.750
Tl 0.500 0.500 0.500

Properties
Crystal system: cubic
Formation enthalpy at 0 K: 6 kJ/mol of formula units
Total magnetic moment: 0.00 μB per cell


# 20
AcLaYTl | GGA-PBE | optimized geometry

Unit cell a=5.730 b=5.730 c=5.730 alpha=60.00 beta=60.00 gamma=60.00
Sites, in units of the cell vectors:
Ac 0.000 0.000 0.000
La 0.250 0.250 0.250
Y 0.750 0.750 0.750
Tl 0.500 0.500 0.500

Properties
Crystal system: cubic
Formation enthalpy at 0 K: -6 kJ/mol of formula units
Total magnetic moment: 0.00 μB per cell


# 21
AcLaTlZn | GGA-PBE | optimized geometry

Unit cell a=5.609 b=5.609 c=5.609 alpha=60.00 beta=60.00 gamma=60.00
Sites, in units of the cell vectors:
Ac 0.000 0.000 0.000
La 0.500 0.500 0.500
Tl 0.250 0.250 0.250
Zn 0.750 0.750 0.750

Properties
Crystal system: cubic
Formation enthalpy at 0 K: -118 kJ/mol of formula units
Total magnetic moment: 0.01 μB per cell


# 22
Ac3La2Tl4Zn2 | GGA-PBE | optimized geometry

Unit cell a=4.939 b=4.939 c=16.995 alpha=90.00 beta=90.00 gamma=120.00
Sites, in units of the cell vectors:
Ac 0.000 0.000 0.000
Ac 0.000 0.000 0.246
Ac 0.000 0.000 0.754
La 0.333 0.667 0.548
La 0.667 0.333 0.452
Tl 0.333 0.667 0.352
Tl 0.333 0.667 0.886
Tl 0.667 0.333 0.114
Tl 0.667 0.333 0.648
Zn 0.333 0.667 0.127
Zn 0.667 0.333 0.873

Properties
Crystal system: trigonal
Formation enthalpy at 0 K: -229 kJ/mol of formula units
Total magnetic moment: 0.00 μB per cell


no.,total DFT energy (no corrections) (eV/atom)
1,-4.22
2,-4.07
3,-4.02
4,-3.97
5,-3.91
6,-3.97
7,-4.57
8,-4.28
9,-4.12
10,-4.02
11,-3.32
12,-4.17
13,-3.71
14,-4.39
15,-4.28
16,-4.17
17,-3.96
18,-4.11
19,-3.95
20,-4.48
21,-3.47
22,-3.32